First-principles (PBE+U) data for a geometry-optimized Y2V2O7 structure, as listed in the Alexandria database.

Summary:
**E_tot**: -8.11 eV/atom
**Size of the total moment**: 2.0 μB per formula unit

Lattice parameters (Å, degrees): 5.0307 5.1428 5.0307 90.00 94.39 90.00
Last column: nearest neighbours and their distance in Å.
Fractional positions:
Y1 0.7445 0.5000 0.7445  6 O 2.19-2.29
Y2 0.2555 0.5000 0.2555  6 O 2.19-2.29
O1 0.5000 0.2369 0.0000  2 V 2.10, 2 Y 2.29
O2 0.0000 0.0000 0.0000  2 V 2.00
O3 0.0000 0.2369 0.5000  2 V 2.10, 2 Y 2.29
O4 0.5000 0.7631 0.0000  2 V 2.10, 2 Y 2.29
O5 0.5000 0.2234 0.5000  2 V 2.04, 2 Y 2.19
O6 0.5000 0.7766 0.5000  2 V 2.04, 2 Y 2.19
O7 0.0000 0.7631 0.5000  2 V 2.10, 2 Y 2.29
V1 0.2713 0.0000 0.7287  7 O 2.00-2.10
V2 0.7287 0.0000 0.2713  7 O 2.00-2.10